The following is a DFT calculation (PBE) of a relaxed structure of LuScAlNi.

a b c (Å): 6.623 6.623 6.623
angles (deg): 90.00 90.00 90.00
Space group F-43m (No. 216)
Asymmetric unit:
1 Lu 0.000 0.000 0.000
2 Sc 0.250 0.250 0.250
3 Al 0.000 0.000 0.500
4 Ni 0.250 0.250 0.750

DFT total energy, eV per atom: -5.2294
Energy above the lowest structure with this stoichiometry, eV per formula unit: 0.00